A plane-wave DFT calculation with PBE was carried out for Cd2CoSn after structural relaxation.

Unit cell a=6.6844 b=6.6844 c=6.6844 alpha=90.00 beta=90.00 gamma=90.00
Last column: nearest neighbours and their distance in Å.
Space group F-43m (No. 216)
Inequivalent atoms, fractional coordinates:
1 Cd 0.0000 0.0000 0.0000  4 Co 2.89, 4 Cd 2.89
2 Cd 0.2500 0.2500 0.2500  4 Cd 2.89, 4 Sn 2.89
3 Co 0.2500 0.2500 0.7500  4 Sn 2.89, 4 Cd 2.89
4 Sn 0.0000 0.0000 0.5000  4 Cd 2.89, 4 Co 2.89

Values from the calculation:
DFT total energy   -2.87 eV per atom
Size of the total moment   0.15 Bohr magnetons per cell

A plane-wave DFT calculation with PBE was carried out for Na4ZnO3 after structural relaxation.

Unit cell a=10.9267 b=5.7862 c=8.0074 alpha=90.00 beta=112.94 gamma=90.00
Last column: nearest neighbours and their distance in Å.
Space group Cc (No. 9)
Inequivalent atoms, fractional coordinates:
1 Na 0.0000 0.1566 0.0000  3 O 2.26-2.28
2 Na 0.2304 0.1604 0.4105  3 O 2.19-2.26
3 Na 0.3270 0.3343 0.0985  4 O 2.28-2.40
4 Na 0.4203 0.2138 0.8096  4 O 2.34-2.50
5 Zn 0.0958 0.3530 0.7158  3 O 1.89-1.94
6 O 0.0520 0.0438 0.7635  1 Zn 1.93
7 O 0.2654 0.4921 0.8094  1 Zn 1.89
8 O 0.4301 0.0018 0.5666  1 Zn 1.94

Values from the calculation:
DFT total energy   -3.99 eV per atom

A plane-wave DFT calculation with PBE was carried out for AcTlAu after structural relaxation.

Unit cell a=7.4734 b=7.4734 c=7.4734 alpha=90.00 beta=90.00 gamma=90.00
Last column: nearest neighbours and their distance in Å.
Space group F-43m (No. 216)
Inequivalent atoms, fractional coordinates:
1 Ac 0.0000 0.0000 0.0000  4 Au 3.24, 4 Tl 3.24
2 Tl 0.2500 0.2500 0.2500  4 Ac 3.24
3 Au 0.2500 0.2500 0.7500  4 Ac 3.24

Values from the calculation:
DFT total energy   -3.38 eV per atom
Size of the total moment   0.02 Bohr magnetons per cell

A plane-wave DFT calculation with PBE was carried out for GdDyHo after structural relaxation.

Unit cell a=7.6428 b=7.6428 c=7.6428 alpha=90.00 beta=90.00 gamma=90.00
Last column: nearest neighbours and their distance in Å.
Space group F-43m (No. 216)
Inequivalent atoms, fractional coordinates:
1 Gd 0.0000 0.0000 0.0000  4 Ho 3.31
2 Dy 0.0000 0.0000 0.5000  4 Ho 3.31
3 Ho 0.2500 0.2500 0.2500  4 Gd 3.31, 4 Dy 3.31

Values from the calculation:
Energy of formation   721 meV/atom
Size of the total moment   0.02 Bohr magnetons per cell

A plane-wave DFT calculation with PBE was carried out for TbPuOs after structural relaxation.

Unit cell a=6.6283 b=6.6283 c=6.6283 alpha=90.00 beta=90.00 gamma=90.00
Last column: nearest neighbours and their distance in Å.
Space group F-43m (No. 216)
Inequivalent atoms, fractional coordinates:
1 Tb 0.0000 0.0000 0.0000  4 Os 2.87
2 Pu 0.0000 0.0000 0.5000  4 Os 2.87
3 Os 0.2500 0.2500 0.7500  4 Tb 2.87, 4 Pu 2.87

Values from the calculation:
Energy of formation   -39 meV/atom
Size of the total moment   20.21 Bohr magnetons per cell

A plane-wave DFT calculation with PBE was carried out for RbHoSeO after structural relaxation.

Unit cell a=4.2058 b=4.2058 c=10.1624 alpha=90.00 beta=90.00 gamma=90.00
Last column: nearest neighbours and their distance in Å.
Space group P4/nmm (No. 129, origin choice 2)
Inequivalent atoms, fractional coordinates:
1 Rb 0.2500 0.7500 0.0000  4 Rb 2.97, 4 Se 3.22
2 Ho 0.2500 0.2500 0.4104  4 O 2.29
3 Se 0.2500 0.2500 0.7600  4 Rb 3.22, 4 O 3.38, 5 Ho 3.44-3.55
4 O 0.2500 0.7500 0.5000  4 Ho 2.29

Values from the calculation:
DFT total energy   -5.41 eV per atom
Size of the total moment   0.00 Bohr magnetons per cell